Entry 1:
# LaSi2BRu2

A relaxed structure of LaSi2BRu2 (PBE, the Alexandria database).

## Properties
Size of the total moment = 0.00 μB/cell
DFT total energy = -7.503 eV/atom

a = 4.162 Å, b = 4.162 Å, c = 5.466 Å
α = 90.00°, β = 90.00°, γ = 90.00°
Space group P4/mmm (No. 123)
Unique sites:
La  0.000  0.000  0.000 x1
Si  0.500  0.500  0.226 x2
B  0.000  0.000  0.500 x1
Ru  0.000  0.500  0.500 x2

=====

Entry 2:
# SrLaB2Ru

A relaxed structure of SrLaB2Ru (PBE, the Alexandria database).

## Properties
Size of the total moment = 0.27 μB/cell
DFT total energy = -3.517 eV/atom

a = 4.674 Å, b = 4.674 Å, c = 6.064 Å
α = 90.00°, β = 90.00°, γ = 90.00°
Space group P4/mmm (No. 123)
Unique sites:
Sr  0.000  0.000  0.000 x1
La  0.000  0.000  0.500 x1
B  0.000  0.500  0.500 x2
Ru  0.500  0.500  0.000 x1

=====

Entry 3:
# La2TaBRu

A relaxed structure of La2TaBRu (PBE, the Alexandria database).

## Properties
Size of the total moment = 2.19 μB/cell
DFT total energy = -7.115 eV/atom

a = 5.410 Å, b = 5.410 Å, c = 3.971 Å
α = 90.00°, β = 90.00°, γ = 90.00°
Space group P4/mmm (No. 123)
Unique sites:
La  0.000  0.500  0.000 x2
Ta  0.000  0.000  0.500 x1
B  0.500  0.500  0.000 x1
Ru  0.500  0.500  0.500 x1

=====

Entry 4:
# LaZn2BRu2

A relaxed structure of LaZn2BRu2 (PBE, the Alexandria database).

## Properties
Size of the total moment = 0.00 μB/cell
DFT total energy = -5.833 eV/atom

a = 4.231 Å, b = 4.231 Å, c = 5.576 Å
α = 90.00°, β = 90.00°, γ = 90.00°
Space group P4/mmm (No. 123)
Unique sites:
La  0.000  0.000  0.000 x1
Zn  0.500  0.500  0.233 x2
B  0.000  0.000  0.500 x1
Ru  0.000  0.500  0.500 x2

=====

Entry 5:
# LaB3S

A relaxed structure of LaB3S (PBE, the Alexandria database).

## Properties
Relative energy among the computed polymorphs = 1535 meV/atom
Size of the total moment = 0.00 μB/cell

a = 4.963 Å, b = 4.963 Å, c = 4.963 Å
α = 90.00°, β = 90.00°, γ = 90.00°
Space group Pm-3m (No. 221)
Unique sites:
La  0.000  0.000  0.000 x1
B  0.000  0.000  0.500 x3
S  0.500  0.500  0.500 x1

=====

Entry 6:
# La2BS

A relaxed structure of La2BS (PBE, the Alexandria database).

## Properties
Relative energy among the computed polymorphs = 0 meV/atom
Size of the total moment = 0.00 μB/cell

a = 7.194 Å, b = 7.194 Å, c = 8.143 Å
α = 90.00°, β = 90.00°, γ = 90.00°
Space group I-42d (No. 122)
Unique sites:
La  0.217  0.250  0.125 x8
B  0.000  0.000  0.000 x4
S  0.000  0.000  0.500 x4

=====

Entry 7:
# La3BS6

A relaxed structure of La3BS6 (PBE, the Alexandria database).

## Properties
Size of the total moment = 0.00 μB/cell
DFT total energy = -6.336 eV/atom

a = 11.075 Å, b = 13.715 Å, c = 6.535 Å
α = 90.00°, β = 90.00°, γ = 90.00°
Space group Cmc2_1 (No. 36)
Unique sites:
La  0.000  0.108  0.000 x4
La  0.185  0.396  0.066 x8
B  0.000  0.307  0.622 x4
S  0.000  0.295  0.321 x4
S  0.000  0.443  0.728 x4
S  0.143  0.247  0.745 x8
S  0.160  0.019  0.287 x8

=====

Entry 8:
# LaB3S

A relaxed structure of LaB3S (PBE, the Alexandria database).

## Properties
Relative energy among the computed polymorphs = 0 meV/atom
Size of the total moment = 0.00 μB/cell

a = 4.064 Å, b = 4.064 Å, c = 4.064 Å
α = 90.00°, β = 90.00°, γ = 90.00°
Space group Pm-3m (No. 221)
Unique sites:
La  0.000  0.000  0.000 x1
B  0.000  0.500  0.500 x3
S  0.500  0.500  0.500 x1

=====

Entry 9:
# LaBS2

A relaxed structure of LaBS2 (PBE, the Alexandria database).

## Properties
Size of the total moment = 0.00 μB/cell
DFT total energy = -5.589 eV/atom

a = 3.9294 Å, b = 3.9294 Å, c = 21.7624 Å
α = 90.00°, β = 90.00°, γ = 120.00°
Space group R-3m (No. 166, hexagonal axes)
Unique sites:
La  0.0000  0.0000  0.0000 x3
B  0.0000  0.0000  0.5000 x3
S  0.0000  0.0000  0.4218 x6

=====

Entry 10:
# LaBS2

A relaxed structure of LaBS2 (PBE, the Alexandria database).

## Properties
Size of the total moment = 0.00 μB/cell
DFT total energy = -5.532 eV/atom

a = 6.447 Å, b = 6.447 Å, c = 6.773 Å
α = 90.00°, β = 90.00°, γ = 90.00°
Space group I-42d (No. 122)
Unique sites:
La  0.000  0.000  0.000 x4
B  0.000  0.000  0.500 x4
S  0.129  0.750  0.625 x8

=====

Entry 11:
# La2BS

A relaxed structure of La2BS (PBE, the Alexandria database).

## Properties
Relative energy among the computed polymorphs = 130 meV/atom
Size of the total moment = 4.87 μB/cell

a = 7.024 Å, b = 7.024 Å, c = 7.024 Å
α = 90.00°, β = 90.00°, γ = 90.00°
Space group Fm-3m (No. 225)
Unique sites:
La  0.250  0.250  0.250 x8
B  0.000  0.000  0.000 x4
S  0.000  0.000  0.500 x4

=====

Entry 12:
# La2BS5

A relaxed structure of La2BS5 (PBE, the Alexandria database).

## Properties
Size of the total moment = 0.00 μB/cell
DFT total energy = -6.025 eV/atom

a = 8.047 Å, b = 9.237 Å, c = 5.711 Å
α = 90.00°, β = 125.47°, γ = 90.00°
Space group Cm (No. 8)
Unique sites:
La  0.000  0.234  0.000 x4
B  0.025  0.500  0.638 x2
S  0.078  0.316  0.543 x4
S  0.213  0.000  0.938 x2
S  0.219  0.500  0.061 x2
S  0.231  0.000  0.469 x2